# 1
## Ce2PrOs (PBE-GGA)

Data for a relaxed Ce2PrOs crystal.

a b c (Å): 3.5006 3.5006 8.7125
angles (deg): 90.00 90.00 90.00
Fractional coordinates of all 4 atoms:
Os: 0.5000 0.5000 0.0000
Pr: 0.5000 0.5000 0.5000
Ce: 0.0000 0.0000 0.1913
Ce: 0.0000 0.0000 0.8087

Summary:
energy relative to the elements: 0.3 kJ/mol of atoms
volume: 26.69 Å³/atom
DOS at the Fermi energy: 9.21 states/eV/cell
energy: -6.9665 eV/atom
calculated density: 9.5 Mg/m³

# 2
## RbCaNbTeSe (PBE-GGA)

Data for a relaxed RbCaNbTeSe crystal.

a b c (Å): 4.0827 4.0854 9.6129
angles (deg): 90.00 90.19 90.00
Site moments in Bohr magnetons follow the coordinates.
Fractional coordinates of all 5 atoms:
Se: 0.2990 0.5000 0.2192  0.01
Rb: 0.2935 0.0000 0.5252  0.01
Ca: 0.7981 0.0000 0.1233  0.08
Nb: 0.2967 0.5000 0.9418  1.35
Te: 0.7952 0.5000 0.7513  -0.04

Summary:
energy relative to the elements, uncorrected: -273.5 kJ/mol of formula units
volume: 32.07 Å³/atom
DOS at the Fermi energy: 4.06 states/eV/cell
energy: -4.4999 eV/atom
calculated density: 4.4 Mg/m³

# 3
## DyYAlSi (PBE-GGA)

Data for a relaxed DyYAlSi crystal.

a b c (Å): 4.3398 3.9873 5.8348
angles (deg): 90.00 111.83 90.00
Fractional coordinates of all 4 atoms:
Al: 0.4276 0.0000 0.8552
Dy: 0.8574 0.5000 0.7148
Si: 0.5748 0.5000 0.1497
Y: 0.1401 0.0000 0.2803

Summary:
energy relative to the elements, uncorrected: -256.7 kJ/mol of formula units
volume: 23.43 Å³/atom
DOS at the Fermi energy: 3.41 states/eV/cell
energy: -5.7230 eV/atom
calculated density: 5.4 Mg/m³

# 4
## Ac4Tl3Ag2 (PBE-GGA)

Data for a relaxed Ac4Tl3Ag2 crystal.

a b c (Å): 5.5081 5.5100 11.3212
angles (deg): 90.02 90.00 60.02
Fractional coordinates of all 9 atoms:
Ac: 0.3332 0.3335 0.1142
Ac: 0.6667 0.6665 0.8858
Ac: 0.9999 0.0002 0.3288
Ac: 0.0001 0.9998 0.6712
Tl: 0.3333 0.3334 0.4559
Tl: 0.0000 0.0000 0.0000
Tl: 0.6667 0.6666 0.5441
Ag: 0.6665 0.6671 0.1906
Ag: 0.3335 0.3329 0.8094

Summary:
energy relative to the elements: -24.6 kJ/mol of atoms
volume: 33.07 Å³/atom
DOS at the Fermi energy: 6.67 states/eV/cell
energy: -3.5035 eV/atom
calculated density: 9.7 Mg/m³

# 5
## Ac6CN2Cl3 (PBE-GGA)

Data for a relaxed Ac6CN2Cl3 crystal.

a b c (Å): 3.9132 8.9238 9.7507
angles (deg): 112.91 101.58 90.00
Fractional coordinates of all 12 atoms:
Ac: 0.3448 0.8818 0.6896
Ac: 0.0145 0.2221 0.0289
Ac: 0.6552 0.1182 0.3104
Ac: 0.6799 0.5522 0.3599
Ac: 0.9855 0.7779 0.9711
Ac: 0.3201 0.4478 0.6401
C: 0.5000 0.0000 0.0000
N: 0.8307 0.6622 0.6614
N: 0.1693 0.3378 0.3386
Cl: 0.1642 0.8337 0.3283
Cl: 0.5000 0.5000 0.0000
Cl: 0.8358 0.1663 0.6717

Summary:
energy relative to the elements, uncorrected: -1409.1 kJ/mol of formula units
volume: 25.51 Å³/atom
DOS at the Fermi energy: 2.80 states/eV/cell
energy: -5.8891 eV/atom
calculated density: 8.2 Mg/m³

# 6
## Cs2Cu2W (PBE-GGA)

Data for a relaxed Cs2Cu2W crystal.

a b c (Å): 6.6878 6.6878 6.0816
angles (deg): 90.00 90.00 90.00
Fractional coordinates of all 10 atoms:
W: 0.0000 0.0000 0.0000
W: 0.5000 0.5000 0.0000
Cu: 0.8619 0.6381 0.0000
Cu: 0.6381 0.1381 0.0000
Cu: 0.3619 0.8619 0.0000
Cu: 0.1381 0.3619 0.0000
Cs: 0.1825 0.6825 0.5000
Cs: 0.8175 0.3175 0.5000
Cs: 0.6825 0.8175 0.5000
Cs: 0.3175 0.1825 0.5000

Summary:
energy relative to the elements: 124.2 kJ/mol of atoms
volume: 27.20 Å³/atom
DOS at the Fermi energy: 11.17 states/eV/cell
energy: -3.2835 eV/atom
calculated density: 7.0 Mg/m³

# 7
## LiSi2Ag (PBE-GGA)

Data for a relaxed LiSi2Ag crystal.

a b c (Å): 2.7556 2.7556 8.1864
angles (deg): 90.00 90.00 90.00
Fractional coordinates of all 4 atoms:
Si: 0.0000 0.0000 0.9893
Si: 0.0000 0.0000 0.5107
Ag: 0.5000 0.5000 0.2500
Li: 0.5000 0.5000 0.7500

Summary:
energy relative to the elements, uncorrected: 48.4 kJ/mol of formula units
volume: 15.54 Å³/atom
DOS at the Fermi energy: 1.17 states/eV/cell
energy: -3.7773 eV/atom
calculated density: 4.6 Mg/m³

# 8
## CaY3Pt (PBE-GGA)

Data for a relaxed CaY3Pt crystal.

a b c (Å): 5.5430 5.5430 5.5430
angles (deg): 90.00 90.00 90.00
Fractional coordinates of all 5 atoms:
Pt: 0.0000 0.0000 0.0000
Y: 0.5000 0.0000 0.0000
Y: 0.0000 0.0000 0.5000
Y: 0.0000 0.5000 0.0000
Ca: 0.5000 0.5000 0.5000

Summary:
energy relative to the elements: -38.2 kJ/mol of atoms
volume: 34.06 Å³/atom
DOS at the Fermi energy: 9.53 states/eV/cell
energy: -5.8830 eV/atom
calculated density: 4.9 Mg/m³

# 9
## SmYGaOs (PBE-GGA)

Data for a relaxed SmYGaOs crystal.

a b c (Å): 4.9877 4.9877 4.9877
angles (deg): 60.00 60.00 60.00
Fractional coordinates of all 4 atoms:
Os: 0.5000 0.5000 0.5000
Y: 0.7500 0.7500 0.7500
Sm: 0.2500 0.2500 0.2500
Ga: 0.0000 0.0000 0.0000

Summary:
energy relative to the elements: -28.3 kJ/mol of atoms
volume: 21.94 Å³/atom
DOS at the Fermi energy: 2.55 states/eV/cell
energy: -6.6531 eV/atom
calculated density: 9.4 Mg/m³

# 10
## Pu2AlS4 (PBE-GGA)

Data for a relaxed Pu2AlS4 crystal.

a b c (Å): 6.5149 6.4915 7.7712
angles (deg): 90.00 107.49 90.00
Site moments in Bohr magnetons follow the coordinates.
Fractional coordinates of all 14 atoms:
Pu: 0.7445 0.7500 0.5596  5.31
Pu: 0.2859 0.2500 0.9470  -5.28
Pu: 0.2555 0.2500 0.4404  5.31
Pu: 0.7141 0.7500 0.0530  -5.28
S: 0.0616 0.7500 0.3838  -0.02
S: 0.4999 0.0053 0.2549  0.00
S: 0.5001 0.9947 0.7451  0.00
S: 0.0648 0.7500 0.8997  0.01
S: 0.9384 0.2500 0.6162  -0.02
S: 0.5001 0.5053 0.7451  0.00
S: 0.9352 0.2500 0.1003  0.01
S: 0.4999 0.4947 0.2549  0.00
Al: 0.2546 0.7500 0.1911  0.00
Al: 0.7454 0.2500 0.8089  0.00

Summary:
energy relative to the elements, uncorrected: -920.8 kJ/mol of formula units
volume: 22.39 Å³/atom
DOS at the Fermi energy: 54.38 states/eV/cell
energy: -8.3514 eV/atom
calculated density: 6.8 Mg/m³

# 11
## Zr3SnAs (PBE-GGA)

Data for a relaxed Zr3SnAs crystal.

a b c (Å): 4.9682 7.1535 7.5234
angles (deg): 83.37 90.00 110.32
Fractional coordinates of all 10 atoms:
As: 0.1462 0.2924 0.8891
As: 0.8538 0.7076 0.1109
Zr: 0.0384 0.0768 0.2093
Zr: 0.1674 0.3348 0.5238
Zr: 0.2813 0.5627 0.1405
Zr: 0.7187 0.4373 0.8595
Zr: 0.9616 0.9232 0.7907
Zr: 0.8326 0.6652 0.4762
Sn: 0.6318 0.2636 0.3181
Sn: 0.3682 0.7364 0.6819

Summary:
energy relative to the elements: -36.5 kJ/mol of atoms
volume: 24.88 Å³/atom
DOS at the Fermi energy: 8.73 states/eV/cell
energy: -7.2380 eV/atom
calculated density: 6.2 Mg/m³

# 12
## ScAsPbSe2 (PBE-GGA)

Data for a relaxed ScAsPbSe2 crystal.

a b c (Å): 5.3630 5.3630 5.2751
angles (deg): 90.00 90.00 90.00
Fractional coordinates of all 5 atoms:
Se: 0.5000 0.0000 0.0000
Se: 0.0000 0.5000 0.0000
As: 0.0000 0.0000 0.5000
Sc: 0.5000 0.5000 0.5000
Pb: 0.0000 0.0000 0.0000

Summary:
energy relative to the elements, uncorrected: 195.5 kJ/mol of formula units
volume: 30.34 Å³/atom
DOS at the Fermi energy: 3.40 states/eV/cell
energy: -3.9264 eV/atom
calculated density: 5.3 Mg/m³

# 13
## Pr2Ge4Pt3Rh (PBE-GGA)

Data for a relaxed Pr2Ge4Pt3Rh crystal.

a b c (Å): 4.3335 4.3335 10.2689
angles (deg): 90.00 90.00 90.00
Fractional coordinates of all 10 atoms:
Pt: 0.0000 0.5000 0.1288
Pt: 0.0000 0.0000 0.5000
Pt: 0.5000 0.0000 0.8712
Ge: 0.5000 0.5000 0.0000
Ge: 0.0000 0.5000 0.3708
Ge: 0.5000 0.0000 0.6292
Ge: 0.0000 0.0000 0.0000
Rh: 0.5000 0.5000 0.5000
Pr: 0.5000 0.0000 0.2474
Pr: 0.0000 0.5000 0.7526

Summary:
energy relative to the elements: -89.9 kJ/mol of atoms
volume: 19.28 Å³/atom
DOS at the Fermi energy: 6.40 states/eV/cell
energy: -6.2820 eV/atom
calculated density: 10.9 Mg/m³

# 14
## TePd3C (PBE-GGA)

Data for a relaxed TePd3C crystal.

a b c (Å): 4.2792 4.2792 4.2792
angles (deg): 90.00 90.00 90.00
Fractional coordinates of all 5 atoms:
Te: 0.5000 0.5000 0.5000
Pd: 0.0000 0.5000 0.0000
Pd: 0.0000 0.0000 0.5000
Pd: 0.5000 0.0000 0.0000
C: 0.0000 0.0000 0.0000

Summary:
energy relative to the elements, uncorrected: 117.1 kJ/mol of formula units
volume: 15.67 Å³/atom
DOS at the Fermi energy: 1.65 states/eV/cell
energy: -5.3461 eV/atom
calculated density: 9.7 Mg/m³

# 15
## AgSnBiS4 (PBE-GGA)

Data for a relaxed AgSnBiS4 crystal.

a b c (Å): 7.8649 7.9316 7.9316
angles (deg): 60.49 60.28 60.28
Fractional coordinates of all 14 atoms:
S: 0.2525 0.7726 0.7224
S: 0.7287 0.7716 0.2716
S: 0.7475 0.7776 0.7274
S: 0.7719 0.2284 0.7284
S: 0.7475 0.2274 0.2776
S: 0.2713 0.2284 0.7284
S: 0.2281 0.7716 0.2716
S: 0.2525 0.2224 0.2726
Ag: 0.3755 0.3745 0.8745
Ag: 0.6245 0.6255 0.1255
Sn: 0.5000 0.0000 0.5000
Sn: 0.0000 0.0000 0.5000
Bi: 0.0000 0.5000 0.5000
Bi: 0.0000 0.0000 0.0000

Summary:
energy relative to the elements, uncorrected: -204.3 kJ/mol of formula units
volume: 25.19 Å³/atom
DOS at the Fermi energy: 0.84 states/eV/cell
energy: -4.1946 eV/atom
calculated density: 5.3 Mg/m³

# 16
## Sc4SbPb (PBE-GGA)

Data for a relaxed Sc4SbPb crystal.

a b c (Å): 6.1567 8.3220 7.4474
angles (deg): 112.81 100.50 114.44
Fractional coordinates of all 12 atoms:
Pb: 0.6388 0.3888 0.7776
Pb: 0.3612 0.6112 0.2224
Sc: 0.7969 0.4054 0.2045
Sc: 0.3391 0.9003 0.6117
Sc: 0.2274 0.2886 0.3883
Sc: 0.9077 0.7992 0.2045
Sc: 0.0923 0.2008 0.7955
Sc: 0.7726 0.7114 0.6117
Sc: 0.6609 0.0997 0.3883
Sc: 0.2031 0.5946 0.7955
Sb: 0.7433 0.9933 0.9867
Sb: 0.2567 0.0067 0.0133

Summary:
energy relative to the elements, uncorrected: -242.9 kJ/mol of formula units
volume: 24.36 Å³/atom
DOS at the Fermi energy: 15.61 states/eV/cell
energy: -5.9457 eV/atom
calculated density: 5.8 Mg/m³

# 17
## Li2TmCu (PBE-GGA)

Data for a relaxed Li2TmCu crystal.

a b c (Å): 3.0690 3.0690 10.1720
angles (deg): 81.32 81.32 60.00
Fractional coordinates of all 4 atoms:
Cu: 0.5000 0.5000 0.5000
Tm: 0.0000 0.0000 0.0000
Li: 0.8989 0.8989 0.3034
Li: 0.1011 0.1011 0.6966

Summary:
energy relative to the elements: 27.8 kJ/mol of atoms
volume: 20.43 Å³/atom
DOS at the Fermi energy: 2.18 states/eV/cell
energy: -2.8106 eV/atom
calculated density: 5.0 Mg/m³

# 18
## RbSr2NpI8 (PBE-GGA)

Data for a relaxed RbSr2NpI8 crystal.

a b c (Å): 7.8423 7.5757 10.1076
angles (deg): 89.95 89.98 89.82
Site moments in Bohr magnetons follow the coordinates.
Fractional coordinates of all 12 atoms:
I: 0.3731 0.2629 0.5001  0.00
I: 0.8445 0.2464 0.7862  -0.02
I: 0.3275 0.2523 0.0001  -0.02
I: 0.1555 0.7536 0.2138  -0.02
I: 0.1559 0.7540 0.7862  -0.02
I: 0.8441 0.2460 0.2138  -0.02
I: 0.6269 0.7371 0.4999  0.00
I: 0.6725 0.7477 0.9999  -0.02
Sr: 0.5001 0.5000 0.7491  0.00
Sr: 0.4999 0.5000 0.2509  0.00
Rb: 0.0000 0.0000 0.5000  0.00
Np: 0.0000 0.0000 0.0000  4.01

Summary:
energy relative to the elements, uncorrected: -1566.1 kJ/mol of formula units
volume: 50.04 Å³/atom
DOS at the Fermi energy: 3.57 states/eV/cell
energy: -3.8254 eV/atom
calculated density: 4.2 Mg/m³

# 19
## LiNiMo3 (PBE-GGA)

Data for a relaxed LiNiMo3 crystal.

a b c (Å): 4.1535 4.1535 4.1535
angles (deg): 90.00 90.00 90.00
Fractional coordinates of all 5 atoms:
Mo: 0.0000 0.0000 0.5000
Mo: 0.5000 0.0000 0.0000
Mo: 0.0000 0.5000 0.0000
Li: 0.0000 0.0000 0.0000
Ni: 0.5000 0.5000 0.5000

Summary:
energy relative to the elements: 126.7 kJ/mol of atoms
volume: 14.33 Å³/atom
DOS at the Fermi energy: 3.73 states/eV/cell
energy: -6.7250 eV/atom
calculated density: 8.2 Mg/m³

# 20
## LaScP2 (PBE-GGA)

Data for a relaxed LaScP2 crystal.

a b c (Å): 4.0291 4.0291 6.9338
angles (deg): 73.07 73.07 60.02
Fractional coordinates of all 4 atoms:
La: 0.2500 0.2500 0.2500
P: 0.4902 0.4902 0.5293
P: 0.0098 0.0098 0.9707
Sc: 0.7500 0.7500 0.7500

Summary:
energy relative to the elements: -142.4 kJ/mol of atoms
volume: 22.95 Å³/atom
DOS at the Fermi energy: 0.54 states/eV/cell
energy: -6.9957 eV/atom
calculated density: 4.4 Mg/m³

# 21
## SrCuH6Rh (PBE-GGA)

Data for a relaxed SrCuH6Rh crystal.

a b c (Å): 4.7898 4.7898 4.7636
angles (deg): 90.00 90.00 60.00
Fractional coordinates of all 9 atoms:
Sr: 0.0000 0.0000 0.0000
H: 0.0167 0.5875 0.7011
H: 0.3957 0.5874 0.2989
H: 0.3958 0.0167 0.7011
H: 0.0167 0.3959 0.2989
H: 0.5874 0.0167 0.2989
H: 0.5874 0.3958 0.7011
Cu: 0.6667 0.6667 0.5000
Rh: 0.3333 0.3333 0.5000

Summary:
volume: 10.52 Å³/atom
DOS at the Fermi energy: 0.15 states/eV/cell
energy: -3.9914 eV/atom
calculated density: 4.6 Mg/m³

# 22
## Na4MgF6 (PBE-GGA)

Data for a relaxed Na4MgF6 crystal.

a b c (Å): 6.5647 6.5647 6.5647
angles (deg): 89.20 89.20 90.80
Fractional coordinates of all 22 atoms:
Na: 0.7500 0.7500 0.2500
Na: 0.5991 0.9009 0.7500
Na: 0.2500 0.2500 0.7500
Na: 0.7500 0.4009 0.9009
Na: 0.2500 0.5991 0.0991
Na: 0.4009 0.0991 0.2500
Na: 0.0991 0.7500 0.5991
Na: 0.9009 0.2500 0.4009
F: 0.4314 0.5492 0.7924
F: 0.2924 0.9508 0.9314
F: 0.9508 0.0686 0.7076
F: 0.0686 0.2924 0.0492
F: 0.7924 0.5686 0.5492
F: 0.4508 0.7924 0.4314
F: 0.5492 0.2076 0.5686
F: 0.5686 0.4508 0.2076
F: 0.0492 0.9314 0.2924
F: 0.9314 0.7076 0.9508
F: 0.2076 0.4314 0.4508
F: 0.7076 0.0492 0.0686
Mg: 0.5000 0.5000 0.5000
Mg: 0.0000 0.0000 0.0000

Summary:
energy relative to the elements, uncorrected: -3096.8 kJ/mol of formula units
volume: 12.86 Å³/atom
DOS at the Fermi energy: 0.00 states/eV/cell
energy: -4.5631 eV/atom
calculated density: 2.7 Mg/m³

# 23
## Ag6SbBr12 (PBE-GGA)

Data for a relaxed Ag6SbBr12 crystal.

a b c (Å): 9.2200 9.2200 9.2200
angles (deg): 74.95 74.95 74.95
Fractional coordinates of all 19 atoms:
Sb: 0.0000 0.0000 0.0000
Br: 0.5610 0.4146 0.1789
Br: 0.5854 0.8211 0.4390
Br: 0.8211 0.4390 0.5854
Br: 0.9348 0.9996 0.3182
Br: 0.9996 0.3182 0.9348
Br: 0.0652 0.0004 0.6818
Br: 0.3182 0.9348 0.9996
Br: 0.4390 0.5854 0.8211
Br: 0.0004 0.6818 0.0652
Br: 0.6818 0.0652 0.0004
Br: 0.4146 0.1789 0.5610
Br: 0.1789 0.5610 0.4146
Ag: 0.7043 0.3964 0.8868
Ag: 0.6036 0.1132 0.2957
Ag: 0.8868 0.7043 0.3964
Ag: 0.3964 0.8868 0.7043
Ag: 0.2957 0.6036 0.1132
Ag: 0.1132 0.2957 0.6036

Summary:
energy relative to the elements, uncorrected: -595.9 kJ/mol of formula units
volume: 37.64 Å³/atom
DOS at the Fermi energy: 9.65 states/eV/cell
energy: -2.4990 eV/atom
calculated density: 4.0 Mg/m³

# 24
## NdEuSb2 (PBE-GGA)

Data for a relaxed NdEuSb2 crystal.

a b c (Å): 4.5377 4.5377 7.9497
angles (deg): 73.42 73.42 60.00
Site moments in Bohr magnetons follow the coordinates.
Fractional coordinates of all 4 atoms:
Sb: 0.7486 0.7486 0.7541  -0.04
Sb: 0.2514 0.2514 0.2459  -0.04
Eu: 0.5000 0.5000 0.5000  6.70
Nd: 0.0000 0.0000 0.0000  -0.03

Summary:
energy relative to the elements, uncorrected: -396.2 kJ/mol of formula units
volume: 33.46 Å³/atom
DOS at the Fermi energy: 12.71 states/eV/cell
energy: -6.8484 eV/atom
calculated density: 6.7 Mg/m³